Entry from Alexandria: an optimized crystal structure of ScBe2In (PBE).

The space group is I4_1/amd (No. 141, origin choice 2) and the conventional cell measures 4.2657, 4.2657 and 16.5273 Å, with angles of 90.00, 90.00 and 90.00 degrees. The distinct sites, in fractional coordinates, are Sc at (0.0000, 0.2500, 0.3750), Be at (0.0000, 0.0000, 0.0000) and In at (0.0000, 0.2500, 0.8750).

Its density of states at the Fermi level is 1.3 states/eV/f.u. The calculation puts the magnetic moment at 0.00 μB per formula unit. Its total energy is -3.7635 eV/atom.